# PBE+U NaNi2F11, optimized geometry
data_NaNi2F11
_cell_length_a 7.987
_cell_length_b 9.719
_cell_length_c 5.243
_cell_angle_alpha 90.00
_cell_angle_beta 90.00
_cell_angle_gamma 90.00
_space_group_name_H-M_alt 'C m m m'
_space_group_IT_number 65
_space_group_name_Hall '-C 2 2'
loop_
_atom_site_label
_atom_site_type_symbol
_atom_site_fract_x
_atom_site_fract_y
_atom_site_fract_z
_atom_site_occupancy
Na1 Na 0.000 0.000 0.000 1
Ni1 Ni 0.250 0.250 0.500 1
F1 F 0.000 0.324 0.500 1
F2 F 0.000 0.500 0.500 1
F3 F 0.191 0.130 0.257 1
# DOS(E_F)   26.43 states/eV/cell
# Raw total energy   -88.80 eV per cell